# ZrMnZn2 | Alexandria via LeMat-Bulk | GGA-PBE | optimized geometry
data_ZrMnZn2
_chemical_formula_sum 'Zr4 Mn4 Zn8'
_cell_length_a 3.757
_cell_length_b 3.757
_cell_length_c 19.716
_cell_angle_alpha 90.00
_cell_angle_beta 90.00
_cell_angle_gamma 90.00
_space_group_name_H-M_alt 'P 1'
_space_group_IT_number 1
_space_group_name_Hall 'P 1'
loop_
_atom_site_label
_atom_site_fract_x
_atom_site_fract_y
_atom_site_fract_z
Zr1 0.000 0.000 0.000
Zr2 0.000 0.500 0.250
Zr3 0.500 0.000 0.750
Zr4 0.500 0.500 0.500
Mn1 0.000 0.000 0.500
Mn2 0.000 0.500 0.750
Mn3 0.500 0.000 0.250
Mn4 0.500 0.500 0.000
Zn1 0.228 0.250 0.625
Zn2 0.250 0.728 0.875
Zn3 0.250 0.772 0.375
Zn4 0.272 0.250 0.125
Zn5 0.728 0.750 0.125
Zn6 0.750 0.228 0.375
Zn7 0.750 0.272 0.875
Zn8 0.772 0.750 0.625
# calculated formation energy: 0.304 eV/atom
# mass density: 6.61 Mg/m³